Material: Tb4Pm6Sc
Method: DFT, PBE-GGA
State: optimized geometry

Calculated values
E_form in eV/atom: 0.129
Space group: Cmcm, No. 63

Geometry as POSCAR:
```
Tb4Pm6Sc
1.0
2.9082 -4.8102 0.0000
2.9082 4.8102 0.0000
0.0000 0.0000 25.7089
Tb Pm Sc
8 12 2
Direct
0.0468 0.9532 0.6232 Tb
0.0468 0.9532 0.8768 Tb
0.3516 0.6484 0.5444 Tb
0.3516 0.6484 0.9556 Tb
0.6484 0.3516 0.0444 Tb
0.6484 0.3516 0.4556 Tb
0.9532 0.0468 0.1232 Tb
0.9532 0.0468 0.3768 Tb
0.0000 0.0000 0.0000 Pm
0.0000 0.0000 0.5000 Pm
0.0496 0.9504 0.7500 Pm
0.2966 0.7034 0.1056 Pm
0.2966 0.7034 0.3944 Pm
0.3788 0.6212 0.6835 Pm
0.3788 0.6212 0.8165 Pm
0.6212 0.3788 0.1835 Pm
0.6212 0.3788 0.3165 Pm
0.7034 0.2966 0.6056 Pm
0.7034 0.2966 0.8944 Pm
0.9504 0.0496 0.2500 Pm
0.2880 0.7120 0.2500 Sc
0.7120 0.2880 0.7500 Sc
```

=====

Material: Tb2Pm7Sc2
Method: DFT, PBE-GGA
State: optimized geometry

Calculated values
E_form in eV/atom: 0.150
Space group: Imm2, No. 44

Geometry as POSCAR:
```
Tb2Pm7Sc2
1.0
-1.7912 8.7639 5.7745
1.7912 -8.7639 5.7745
1.7912 8.7639 -5.7745
Tb Pm Sc
2 7 2
Direct
0.0000 0.0000 0.0000 Tb
0.7429 0.2429 0.5000 Tb
0.2344 0.5440 0.6904 Pm
0.3050 0.3050 0.0000 Pm
0.3937 0.0159 0.3778 Pm
0.6272 0.7872 0.8400 Pm
0.6381 0.0159 0.6222 Pm
0.8536 0.5440 0.3096 Pm
0.9472 0.7872 0.1600 Pm
0.1099 0.2929 0.8170 Sc
0.4759 0.2929 0.1830 Sc
```

=====

Material: Tb3Pm3Sc
Method: DFT, PBE-GGA
State: optimized geometry

Calculated values
E_form in eV/atom: 0.151
Space group: R-3, No. 148

Geometry as POSCAR:
```
Tb3Pm3Sc
1.0
3.1074 1.7941 13.9427
-3.1074 1.7941 13.9427
0.0000 -3.5882 13.9427
Tb Pm Sc
6 6 2
Direct
0.1321 0.4645 0.8001 Tb
0.1999 0.8679 0.5355 Tb
0.4645 0.8001 0.1321 Tb
0.5355 0.1999 0.8679 Tb
0.8001 0.1321 0.4645 Tb
0.8679 0.5355 0.1999 Tb
0.0628 0.7296 0.3959 Pm
0.2704 0.6041 0.9372 Pm
0.3959 0.0628 0.7296 Pm
0.6041 0.9372 0.2704 Pm
0.7296 0.3959 0.0628 Pm
0.9372 0.2704 0.6041 Pm
0.3333 0.3333 0.3333 Sc
0.6667 0.6667 0.6667 Sc
```